1.
The following is a DFT calculation (PBE-GGA) of a relaxed structure of NbZnGeSe.

## Properties
Fermi-level density of states ... 0.4839 states/eV/atom
Excess energy over the best structure of this formula in the dataset ... 78 meV per atom
Formation energy without anion corrections ... -0.18 eV/atom

a b c (Å): 7.0938 7.0938 3.2134
angles (deg): 93.86 93.86 27.26
Positions (direct):
Nb (0.0000, 0.0000, 0.0000)
Zn (0.7771, 0.7771, 0.9625)
Ge (0.6267, 0.6267, 0.4687)
Se (0.3997, 0.3997, 0.4659)

2.
The following is a DFT calculation (PBE-GGA) of a relaxed structure of NbZnGeSe.

## Properties
Fermi-level density of states ... 0.6237 states/eV/atom
Excess energy over the best structure of this formula in the dataset ... 25 meV per atom
Formation energy without anion corrections ... -0.23 eV/atom

a b c (Å): 7.2795 7.2795 7.2795
angles (deg): 154.22 153.48 37.31
Positions (direct):
Nb (0.0000, 0.0000, 0.0000)
Zn (0.7853, 0.7853, 0.0000)
Ge (0.3792, 0.3792, 0.0000)
Se (0.6032, 0.6032, 0.0000)

3.
The following is a DFT calculation (PBE-GGA) of a relaxed structure of NbZnGeSe.

## Properties
Fermi-level density of states ... 0.8418 states/eV/atom
Excess energy over the best structure of this formula in the dataset ... 0 meV per atom
Formation energy without anion corrections ... -0.26 eV/atom

a b c (Å): 7.2164 7.2164 7.2164
angles (deg): 29.75 29.75 29.75
Positions (direct):
Nb (0.0000, 0.0000, 0.0000)
Zn (0.8608, 0.8608, 0.8608)
Ge (0.5909, 0.5909, 0.5909)
Se (0.7440, 0.7440, 0.7440)

4.
The following is a DFT calculation (PBE-GGA) of a relaxed structure of NbZnGeSe.

## Properties
Fermi-level density of states ... 0.4627 states/eV/atom
Excess energy over the best structure of this formula in the dataset ... 40 meV per atom
Formation energy without anion corrections ... -0.22 eV/atom

a b c (Å): 3.3209 3.3209 8.0118
angles (deg): 102.17 102.17 60.67
Positions (direct):
Nb (0.0000, 0.0000, 0.0000)
Zn (0.4986, 0.4986, 0.5016)
Ge (0.2423, 0.2423, 0.7420)
Se (0.7417, 0.7417, 0.2265)

5.
The following is a DFT calculation (PBE-GGA) of a relaxed structure of ZrNbGe2Se.

## Properties
Fermi-level density of states ... 0.7338 states/eV/atom
Formation energy without anion corrections ... 0.43 eV/atom

a b c (Å): 4.9640 4.9640 4.8959
angles (deg): 90.00 90.00 90.00
Positions (direct):
Zr (0.0000, 0.0000, 0.0000)
Nb (0.5000, 0.5000, 0.5000)
Ge (0.0000, 0.5000, 0.5000)
Ge (0.5000, 0.0000, 0.5000)
Se (0.5000, 0.5000, 0.0000)

6.
The following is a DFT calculation (PBE-GGA) of a relaxed structure of Nb3SiGe.

## Properties
Fermi-level density of states ... 1.2027 states/eV/atom
Excess energy over the best structure of this formula in the dataset ... 0 meV per atom
Formation energy without anion corrections ... 0.12 eV/atom

a b c (Å): 6.4942 6.4942 4.9780
angles (deg): 90.00 90.00 120.00
Positions (direct):
Nb (0.1940, 0.3879, 0.2500)
Nb (0.1940, 0.8060, 0.2500)
Nb (0.3879, 0.1940, 0.7500)
Nb (0.6121, 0.8060, 0.2500)
Nb (0.8060, 0.1940, 0.7500)
Nb (0.8060, 0.6121, 0.7500)
Si (0.0000, 0.0000, 0.0000)
Si (0.0000, 0.0000, 0.5000)
Ge (0.3333, 0.6667, 0.7500)
Ge (0.6667, 0.3333, 0.2500)

7.
The following is a DFT calculation (PBE-GGA) of a relaxed structure of Nb3SiGe.

## Properties
Fermi-level density of states ... 2.0093 states/eV/atom
Excess energy over the best structure of this formula in the dataset ... 550 meV per atom
Formation energy without anion corrections ... 0.67 eV/atom

a b c (Å): 4.6587 4.6587 4.6587
angles (deg): 90.00 90.00 90.00
Positions (direct):
Nb (0.0000, 0.0000, 0.5000)
Nb (0.0000, 0.5000, 0.0000)
Nb (0.5000, 0.0000, 0.0000)
Si (0.0000, 0.0000, 0.0000)
Ge (0.5000, 0.5000, 0.5000)

8.
The following is a DFT calculation (PBE-GGA) of a relaxed structure of Nb6SiGe.

## Properties
Fermi-level density of states ... 0.8901 states/eV/atom
Excess energy over the best structure of this formula in the dataset ... 585 meV per atom
Formation energy without anion corrections ... 0.26 eV/atom

a b c (Å): 6.0380 6.0380 6.0380
angles (deg): 59.77 59.77 59.77
Positions (direct):
Nb (0.0203, 0.7445, 0.4871)
Nb (0.2555, 0.5129, 0.9797)
Nb (0.4871, 0.0203, 0.7445)
Nb (0.5129, 0.9797, 0.2555)
Nb (0.7445, 0.4871, 0.0203)
Nb (0.9797, 0.2555, 0.5129)
Si (0.5000, 0.5000, 0.5000)
Ge (0.0000, 0.0000, 0.0000)

9.
The following is a DFT calculation (PBE-GGA) of a relaxed structure of Nb6SiGe.

## Properties
Fermi-level density of states ... 1.6810 states/eV/atom
Excess energy over the best structure of this formula in the dataset ... 0 meV per atom
Formation energy without anion corrections ... -0.33 eV/atom

a b c (Å): 5.1584 5.1584 5.1584
angles (deg): 90.00 90.00 90.00
Positions (direct):
Nb (0.0000, 0.2469, 0.5000)
Nb (0.0000, 0.7531, 0.5000)
Nb (0.2469, 0.5000, 0.0000)
Nb (0.5000, 0.0000, 0.2469)
Nb (0.5000, 0.0000, 0.7531)
Nb (0.7531, 0.5000, 0.0000)
Si (0.0000, 0.0000, 0.0000)
Ge (0.5000, 0.5000, 0.5000)

10.
The following is a DFT calculation (PBE-GGA) of a relaxed structure of NbSiGe3.

## Properties
Fermi-level density of states ... 1.2278 states/eV/atom
Excess energy over the best structure of this formula in the dataset ... 0 meV per atom
Formation energy without anion corrections ... 0.81 eV/atom

a b c (Å): 5.0085 5.0085 5.0085
angles (deg): 90.00 90.00 90.00
Positions (direct):
Nb (0.0000, 0.0000, 0.0000)
Si (0.5000, 0.5000, 0.5000)
Ge (0.0000, 0.0000, 0.5000)
Ge (0.0000, 0.5000, 0.0000)
Ge (0.5000, 0.0000, 0.0000)

11.
The following is a DFT calculation (PBE-GGA) of a relaxed structure of NbSiGe3.

## Properties
Fermi-level density of states ... 1.3776 states/eV/atom
Excess energy over the best structure of this formula in the dataset ... 221 meV per atom
Formation energy without anion corrections ... 1.03 eV/atom

a b c (Å): 4.6828 4.6828 4.6828
angles (deg): 90.00 90.00 90.00
Positions (direct):
Nb (0.0000, 0.0000, 0.0000)
Si (0.5000, 0.5000, 0.5000)
Ge (0.0000, 0.5000, 0.5000)
Ge (0.5000, 0.0000, 0.5000)
Ge (0.5000, 0.5000, 0.0000)

12.
The following is a DFT calculation (PBE-GGA) of a relaxed structure of NbSi2Ge.

## Properties
Fermi-level density of states ... 0.6531 states/eV/atom
Formation energy without anion corrections ... 0.60 eV/atom

a b c (Å): 6.6732 6.6732 6.6732
angles (deg): 126.52 126.52 79.04
Positions (direct):
Nb (0.0000, 0.0000, 0.0000)
Nb (0.7500, 0.2500, 0.5000)
Si (0.1387, 0.6250, 0.0137)
Si (0.3750, 0.3887, 0.5137)
Si (0.6113, 0.1250, 0.9863)
Si (0.8750, 0.8613, 0.4863)
Ge (0.2500, 0.7500, 0.5000)
Ge (0.5000, 0.5000, 0.0000)

Q: What is the formula in the seventh record?
A: Nb3SiGe

Q: Which of these has the lowest Fermi-level density of states?
A: number 4